# 1
KCdGe PBE optimized geometry; ΔE_f = -72 meV/atom; theoretical density = 4.2 Mg/m³; offset from the most stable computed form = 0.000 eV/atom; M_tot = 0.0000 μB/atom
1.0
4.0145 0.0000 -1.4998
-1.1114 5.3400 -2.9750
0.5673 0.7608 7.6415
Cd K Ge
2 2 2
Direct
0.0000 0.7362 0.0000
0.0000 0.2638 0.0000
0.2984 0.2984 0.5969
0.7016 0.7016 0.4031
0.4070 0.9070 0.8140
0.5930 0.0930 0.1860


# 2
YTaRh4 PBE optimized geometry; ΔE_f = -361 meV/atom; theoretical density = 11.2 Mg/m³; M_tot = 0.0000 μB/atom
1.0
3.7935 -1.9918 2.9981
0.7124 1.8026 4.8569
-1.2166 -2.9998 4.1070
Rh Y Ta
4 1 1
Direct
0.6250 0.1249 0.6250
0.6250 0.6250 0.1249
0.6250 0.6250 0.6250
0.1249 0.6250 0.6250
0.0000 0.0000 0.0000
0.2500 0.2500 0.2500


# 3
NdTh5 PBE optimized geometry; ΔE_f = 124 meV/atom; theoretical density = 11.1 Mg/m³; offset from the most stable computed form = 0.091 eV/atom; M_tot = 0.0000 μB/atom
1.0
-0.1363 -2.5442 -2.5164
2.0002 -4.0714 4.0079
-9.5155 0.1665 0.3470
Th Nd
5 1
Direct
0.5000 0.8309 0.6618
0.5000 0.1691 0.3382
0.0000 0.3327 0.6654
0.5000 0.5000 0.0000
0.0000 0.6673 0.3346
0.0000 0.0000 0.0000


# 4
SrReSe2 PBE optimized geometry; raw formation energy = -1.303 eV/f.u.; theoretical density = 7.5 Mg/m³; offset from the most stable computed form = 0.198 eV/atom; M_tot = 0.0000 μB/atom
1.0
4.9534 0.0000 0.0000
0.0000 3.9212 0.0021
0.0000 -0.0035 4.9146
Re Se Sr
1 2 1
Direct
0.5000 0.0003 0.8488
0.0000 0.9997 0.8994
0.5000 0.0000 0.3537
0.0000 0.4999 0.3981


# 5
Rb2MnHBr5 PBE optimized geometry; energy = -3.5888 eV/atom; theoretical density = 3.6 Mg/m³; M_tot = 0.5556 μB/atom
1.0
4.3925 0.0000 0.0000
-2.1962 9.7346 0.0000
0.0000 0.0000 13.6458
Br Mn H Rb
10 2 2 4
Direct
0.0490 0.0980 0.0210
0.4981 0.9961 0.7909
0.3162 0.6323 0.0214
0.6851 0.3702 0.8856
0.3140 0.6280 0.6551
0.9510 0.9020 0.5210
0.6838 0.3677 0.5214
0.3149 0.6298 0.3856
0.6860 0.3720 0.1551
0.5019 0.0039 0.2909
0.1789 0.3578 0.0219
0.8211 0.6422 0.5219
0.5293 0.0585 0.8887
0.4707 0.9415 0.3887
0.1348 0.2696 0.6995
0.8652 0.7304 0.1995
0.1420 0.2840 0.3398
0.8580 0.7160 0.8398


# 6
AlH2OsPt PBE optimized geometry; energy = -5.1742 eV/atom; theoretical density = 10.8 Mg/m³; M_tot = 0.1005 μB/atom
1.0
3.5057 0.0000 0.0000
0.0000 5.1629 0.0000
0.0000 0.0000 3.5057
Al H Os Pt
1 2 1 1
Direct
0.5000 0.5000 0.5000
0.0000 0.0000 0.5000
0.5000 0.0000 0.0000
0.0000 0.0000 0.0000
0.0000 0.5000 0.0000


# 7
CdNi PBE optimized geometry; ΔE_f = 131 meV/atom; theoretical density = 8.7 Mg/m³; M_tot = 0.0000 μB/atom
1.0
7.7398 0.0000 0.0000
0.0000 7.7398 0.0000
0.0000 0.0000 4.3855
Cd Ni
8 8
Direct
0.5000 0.2167 0.0000
0.2833 0.0000 0.5000
0.0000 0.7167 0.5000
0.7167 0.0000 0.5000
0.5000 0.7833 0.0000
0.7833 0.5000 0.0000
0.0000 0.2833 0.5000
0.2167 0.5000 0.0000
0.6604 0.3396 0.5000
0.3396 0.3396 0.5000
0.8396 0.8396 0.0000
0.6604 0.6604 0.5000
0.8396 0.1604 0.0000
0.1604 0.1604 0.0000
0.3396 0.6604 0.5000
0.1604 0.8396 0.0000


# 8
Np2OF8 PBE optimized geometry; raw formation energy = -35.528 eV/f.u.; theoretical density = 4.6 Mg/m³; M_tot = 0.3636 μB/atom
1.0
4.3897 0.3808 0.9333
1.0683 6.9905 3.0470
0.6992 -0.0804 7.6679
F Np O
8 2 1
Direct
0.8321 0.4076 0.9282
0.1679 0.0718 0.5924
0.1679 0.5924 0.0718
0.6606 0.8401 0.8401
0.3394 0.1599 0.1599
0.8321 0.9282 0.4076
0.3374 0.6632 0.6632
0.6626 0.3368 0.3368
0.8292 0.1702 0.1702
0.1708 0.8298 0.8298
0.0000 0.0000 0.0000


# 9
AcGa4Pt PBE optimized geometry; ΔE_f = -429 meV/atom; theoretical density = 8.2 Mg/m³; offset from the most stable computed form = 0.221 eV/atom; M_tot = 0.0000 μB/atom
1.0
4.9221 0.0000 0.0000
0.0000 4.9221 0.0000
0.0000 0.0000 5.8670
Ga Ac Pt
4 1 1
Direct
0.5000 0.5000 0.7196
0.0000 0.5000 0.0000
0.5000 0.0000 0.0000
0.5000 0.5000 0.2804
0.0000 0.0000 0.5000
0.0000 0.0000 0.0000


# 10
CsBaPmI6 PBE optimized geometry; raw formation energy = -14.192 eV/f.u.; theoretical density = 3.7 Mg/m³; M_tot = 0.0000 μB/atom
1.0
-1.0059 3.3849 -7.9277
2.3022 -8.3184 0.9064
-15.6327 -4.3110 0.1429
I Ba Pm Cs
12 2 2 2
Direct
0.3583 0.9694 0.6365
0.6417 0.0306 0.3635
0.3890 0.0306 0.1365
0.6110 0.6417 0.6365
0.6110 0.9694 0.8635
0.9694 0.6110 0.3635
0.0306 0.6417 0.8635
0.0306 0.3890 0.6365
0.3890 0.3583 0.3635
0.9694 0.3583 0.1365
0.3583 0.3890 0.8635
0.6417 0.6110 0.1365
0.6667 0.3333 0.7500
0.3333 0.6667 0.2500
0.3333 0.6667 0.7500
0.6667 0.3333 0.2500
0.0000 0.0000 0.5000
0.0000 0.0000 0.0000


# 11
PrFe2Ni9 PBE optimized geometry; ΔE_f = 114 meV/atom; theoretical density = 8.5 Mg/m³; M_tot = 0.8571 μB/atom
1.0
-1.1600 0.9730 -2.2068
-7.3295 -1.4801 3.2000
3.6154 7.1754 1.2634
Ni Fe Pr
9 2 1
Direct
0.0000 0.5000 0.0000
0.0000 0.0000 0.5000
0.5000 0.3788 0.1894
0.5000 0.8106 0.6212
0.0000 0.5000 0.5000
0.5000 0.1894 0.3788
0.5000 0.1894 0.8106
0.5000 0.8106 0.1894
0.5000 0.6212 0.8106
0.0000 0.3333 0.6667
0.0000 0.6667 0.3333
0.0000 0.0000 0.0000


# 12
Sm3BeO6 PBE optimized geometry; raw formation energy = -30.158 eV/f.u.; theoretical density = 6.7 Mg/m³; M_tot = 0.1070 μB/atom
1.0
5.1608 0.0000 0.0000
0.0000 7.3694 0.0593
0.0000 -1.5867 7.1968
O Sm Be
12 6 2
Direct
0.6669 0.5991 0.1138
0.2104 0.3526 0.3279
0.7104 0.6474 0.6721
0.6160 0.9511 0.0489
0.6669 0.8862 0.4009
0.7014 0.2146 0.7854
0.7104 0.3279 0.3526
0.1669 0.4009 0.8862
0.1160 0.0489 0.9511
0.2014 0.7854 0.2146
0.2104 0.6721 0.6474
0.1669 0.1138 0.5991
0.9823 0.6952 0.9276
0.9298 0.6128 0.3872
0.4823 0.3048 0.0724
0.4298 0.3872 0.6128
0.4823 0.9276 0.6952
0.9823 0.0724 0.3048
0.0191 0.1976 0.8024
0.5191 0.8024 0.1976